An optimized crystal structure of Ac4CoCu2, computed with PBE-GGA.

Structure (POSCAR):
```
Ac4CoCu2
1.0
7.6540 -2.1426 0.0000
7.6540 2.1426 0.0000
-1.1374 0.0000 6.6506
Ac Co Cu
4 1 2
direct
0.0806 0.0806 0.2660
0.3446 0.3446 0.1851
0.6554 0.6554 0.8149
0.9194 0.9194 0.7340
0.5000 0.5000 0.0000
0.2626 0.2626 0.6026
0.7374 0.7374 0.3974
```

Values from the calculation:
The calculated total energy comes out at -4.609 eV/atom. For the density of states at the Fermi level, the calculation gives 0.7469 states/eV per atom. Its symmetry is C2/m. The calculation puts the excess energy over the best structure of this formula in the dataset at 0.00 kcal/mol of atoms.

---

An optimized crystal structure of Nd2SmSi2, computed with PBE-GGA.

Structure (POSCAR):
```
Nd2SmSi2
1.0
7.7239 0.0000 0.0000
0.0000 7.7239 0.0000
0.0000 0.0000 4.3662
Nd Sm Si
4 2 4
direct
0.1770 0.3230 0.0000
0.3230 0.8230 0.0000
0.6770 0.1770 0.0000
0.8230 0.6770 0.0000
0.0000 0.0000 0.5000
0.5000 0.5000 0.5000
0.1120 0.6120 0.5000
0.3880 0.1120 0.5000
0.6120 0.8880 0.5000
0.8880 0.3880 0.5000
```

Values from the calculation:
The calculated total energy comes out at -5.671 eV/atom. The formation energy without anion corrections is -314 kJ/mol of formula units. For the density of states at the Fermi level, the calculation gives 1.0034 states/eV per atom. Its symmetry is P4/mbm. The calculation puts the excess energy over the best structure of this formula in the dataset at 0.00 kcal/mol of atoms.

---

An optimized crystal structure of Zr2I3Br, computed with PBE-GGA.

Structure (POSCAR):
```
Zr2I3Br
1.0
16.3643 -1.8563 0.0000
16.3643 1.8563 0.0000
-0.6302 0.0000 6.8126
Zr I Br
4 6 2
direct
0.1197 0.1197 0.3247
0.3772 0.3772 0.0484
0.6228 0.6228 0.9516
0.8803 0.8803 0.6753
0.0692 0.0692 0.6953
0.1894 0.1894 0.0889
0.3285 0.3285 0.4173
0.6715 0.6715 0.5827
0.8106 0.8106 0.9111
0.9308 0.9308 0.3047
0.4405 0.4405 0.8071
0.5595 0.5595 0.1929
```

Values from the calculation:
The calculated total energy comes out at -4.865 eV/atom. The formation energy without anion corrections is -557 kJ/mol of formula units. Its symmetry is C2/m.

---

An optimized crystal structure of K5Rb2Sb2, computed with PBE-GGA.

Structure (POSCAR):
```
K5Rb2Sb2
1.0
9.5828 -2.9760 0.0000
9.5828 2.9760 0.0000
-4.3202 0.0000 8.6158
K Rb Sb
5 2 2
direct
0.0000 0.0000 0.0000
0.1669 0.1669 0.6094
0.3591 0.3591 0.6389
0.6409 0.6409 0.3611
0.8331 0.8331 0.3906
0.3393 0.3393 0.0566
0.6607 0.6607 0.9434
0.2028 0.2028 0.2346
0.7972 0.7972 0.7654
```

Values from the calculation:
The calculated total energy comes out at -2.043 eV/atom. The formation energy without anion corrections is -262 kJ/mol of formula units. For the density of states at the Fermi level, the calculation gives 0.2683 states/eV per atom. Its symmetry is C2/m.

---

An optimized crystal structure of Mn3Al10, computed with PBE-GGA.

Structure (POSCAR):
```
Mn3Al10
1.0
7.5191 0.0000 0.0000
-3.7596 6.5118 0.0000
0.0000 0.0000 7.7838
Mn Al
6 20
direct
0.1210 0.2420 0.2500
0.1210 0.8790 0.2500
0.2420 0.1210 0.7500
0.7580 0.8790 0.2500
0.8790 0.1210 0.7500
0.8790 0.7580 0.7500
0.0000 0.0000 0.0000
0.0000 0.0000 0.5000
0.0862 0.5431 0.2500
0.2002 0.4005 0.5649
0.2002 0.4005 0.9351
0.2002 0.7998 0.5649
0.2002 0.7998 0.9351
0.4005 0.2002 0.0649
0.4005 0.2002 0.4351
0.4569 0.5431 0.2500
0.4569 0.9138 0.2500
0.5431 0.0862 0.7500
0.5431 0.4569 0.7500
0.5995 0.7998 0.5649
0.5995 0.7998 0.9351
0.7998 0.2002 0.0649
0.7998 0.2002 0.4351
0.7998 0.5995 0.0649
0.7998 0.5995 0.4351
0.9138 0.4569 0.7500
```

Values from the calculation:
The calculated total energy comes out at -5.231 eV/atom. For the density of states at the Fermi level, the calculation gives 0.5313 states/eV per atom. Its symmetry is P6_3/mmc.

---

An optimized crystal structure of Li3Dy2Ag4, computed with PBE-GGA.

Structure (POSCAR):
```
Li3Dy2Ag4
1.0
2.8946 -7.8117 0.0000
2.8946 7.8117 0.0000
0.0000 0.0000 7.9254
Li Dy Ag
6 4 8
direct
0.0000 0.0000 0.0000
0.0289 0.4711 0.2500
0.4711 0.0289 0.7500
0.5000 0.5000 0.5000
0.5289 0.9711 0.2500
0.9711 0.5289 0.7500
0.1103 0.8897 0.4087
0.3897 0.6103 0.9087
0.6103 0.3897 0.0913
0.8897 0.1103 0.5913
0.1808 0.8192 0.0299
0.1957 0.3043 0.2500
0.3043 0.1957 0.7500
0.3192 0.6808 0.5299
0.6808 0.3192 0.4701
0.6957 0.8043 0.2500
0.8043 0.6957 0.7500
0.8192 0.1808 0.9701
```

Values from the calculation:
The calculated total energy comes out at -3.118 eV/atom. For the density of states at the Fermi level, the calculation gives 0.6296 states/eV per atom. Its symmetry is Cmce.

---

An optimized crystal structure of PrGdCu2, computed with PBE-GGA.

Structure (POSCAR):
```
PrGdCu2
1.0
0.0000 3.5674 3.5674
3.5674 0.0000 3.5674
3.5674 3.5674 0.0000
Pr Gd Cu
1 1 2
direct
0.0000 0.0000 0.0000
0.5000 0.5000 0.5000
0.2500 0.2500 0.2500
0.7500 0.7500 0.7500
```

Values from the calculation:
The calculated total energy comes out at -6.921 eV/atom. For the density of states at the Fermi level, the calculation gives 1.0283 states/eV per atom. Its symmetry is Fm-3m. The calculation puts the excess energy over the best structure of this formula in the dataset at 0.21 kcal/mol of atoms.

---

An optimized crystal structure of Na3DyTm2O6, computed with PBE-GGA.

Structure (POSCAR):
```
Na3DyTm2O6
1.0
2.9325 -5.0794 0.0000
2.9325 5.0794 0.0000
-1.9546 0.0000 5.5695
Na Dy Tm O
3 1 2 6
direct
0.0000 0.0000 0.0000
0.3319 0.6681 0.0000
0.6681 0.3319 0.0000
0.5000 0.5000 0.5000
0.1666 0.8334 0.5000
0.8334 0.1666 0.5000
0.0927 0.4303 0.2910
0.2322 0.2322 0.7096
0.4303 0.0927 0.2910
0.5697 0.9073 0.7090
0.7678 0.7678 0.2904
0.9073 0.5697 0.7090
```

Values from the calculation:
The calculated total energy comes out at -6.783 eV/atom. The formation energy without anion corrections is -3295 kJ/mol of formula units. For the density of states at the Fermi level, the calculation gives 0.0000 states/eV per atom. Its symmetry is C2/m.

---

An optimized crystal structure of Sr2PS, computed with PBE-GGA.

Structure (POSCAR):
```
Sr2PS
1.0
-3.8835 3.8835 4.3059
3.8835 -3.8835 4.3059
3.8835 3.8835 -4.3059
Sr P S
4 2 2
direct
0.1120 0.6250 0.9870
0.3750 0.3620 0.4870
0.6380 0.1250 0.0130
0.8750 0.8880 0.5130
0.2500 0.7500 0.5000
0.5000 0.5000 0.0000
0.0000 0.0000 0.0000
0.7500 0.2500 0.5000
```

Values from the calculation:
The calculated total energy comes out at -4.358 eV/atom. The formation energy without anion corrections is -437 kJ/mol of formula units. For the density of states at the Fermi level, the calculation gives 0.1742 states/eV per atom. Its symmetry is I-42d. The calculation puts the excess energy over the best structure of this formula in the dataset at 0.43 kcal/mol of atoms.

---

An optimized crystal structure of LaPrGd2, computed with PBE-GGA.

Structure (POSCAR):
```
LaPrGd2
1.0
1.8275 1.0551 11.9155
-1.8275 1.0551 11.9155
0.0000 -2.1102 11.9155
La Pr Gd
1 1 2
direct
0.0000 0.0000 0.0000
0.5000 0.5000 0.5000
0.2496 0.2496 0.2496
0.7504 0.7504 0.7504
```

Values from the calculation:
The calculated total energy comes out at -9.450 eV/atom. For the density of states at the Fermi level, the calculation gives 1.6506 states/eV per atom. Its symmetry is R-3m. The calculation puts the excess energy over the best structure of this formula in the dataset at 0.00 kcal/mol of atoms.

---

An optimized crystal structure of CeEuAlSn, computed with PBE-GGA.

Structure (POSCAR):
```
CeEuAlSn
1.0
0.0000 3.8105 3.8105
3.8105 0.0000 3.8105
3.8105 3.8105 0.0000
Ce Eu Al Sn
1 1 1 1
direct
0.0000 0.0000 0.0000
0.5000 0.5000 0.5000
0.2500 0.2500 0.2500
0.7500 0.7500 0.7500
```

Values from the calculation:
The calculated total energy comes out at -6.369 eV/atom. For the density of states at the Fermi level, the calculation gives 2.5385 states/eV per atom. Its symmetry is F-43m.